Below is a relaxed SrZr2Al crystal, with properties calculated at the PBE level.

Lattice parameters (Å, degrees): 6.5078 6.5078 6.5078 150.24 130.99 58.40
Element x y z (fractional)
Sr: 0.2500 0.7500 0.5000
Al: 0.7500 0.2500 0.5000
Zr: 0.9647 0.9647 0.0000
Zr: 0.5353 0.5353 0.0000

ρ: 4.81 g/cm3
Energy relative to the elements: 0.11 eV per atom
Fermi-level density of states: 3.3 states/eV/f.u.
Space-group type: Immm (71)


Below is a relaxed SrZr2Al crystal, with properties calculated at the PBE level.

Lattice parameters (Å, degrees): 5.6754 5.6754 5.6754 132.40 132.40 69.60
Element x y z (fractional)
Sr: 0.7500 0.2500 0.5000
Al: 0.5000 0.5000 0.0000
Zr: 0.0000 0.0000 0.0000
Zr: 0.2500 0.7500 0.5000

ρ: 5.04 g/cm3
Energy relative to the elements: 0.25 eV per atom
Fermi-level density of states: 4.2 states/eV/f.u.
Space-group type: I-4m2 (119)


Below is a relaxed SrZr2Al crystal, with properties calculated at the PBE level.

Lattice parameters (Å, degrees): 5.6623 5.6623 5.6623 132.19 132.19 69.93
Element x y z (fractional)
Sr: 0.7500 0.2500 0.5000
Al: 0.2500 0.7500 0.5000
Zr: 0.0000 0.0000 0.0000
Zr: 0.5000 0.5000 0.0000

ρ: 5.05 g/cm3
Energy relative to the elements: 0.28 eV per atom
Fermi-level density of states: 4.8 states/eV/f.u.
Space-group type: I4/mmm (139)